A geometry-optimized TmScOsRh structure. Source: the Alexandria database, functional GGA-PBE.

Results
Energy of formation from the pure elements in eV per atom: -0.65
Energy above the lowest structure with this stoichiometry in eV/f.u.: 0.00
Volume in Å³/cell: 72

CIF file:
```
data_TmScOsRh
_cell_length_a 3.296
_cell_length_b 3.296
_cell_length_c 6.598
_cell_angle_alpha 90.00
_cell_angle_beta 90.00
_cell_angle_gamma 90.00
_symmetry_space_group_name_H-M 'P 4 m m'
_symmetry_Int_Tables_number 99
loop_
_symmetry_equiv_pos_as_xyz
'x,y,z'
'-y,x,z'
'-x,-y,z'
'y,-x,z'
'-x,y,z'
'y,x,z'
'x,-y,z'
'-y,-x,z'
loop_
_atom_site_label
_atom_site_fract_x
_atom_site_fract_y
_atom_site_fract_z
Tm1 0.000 0.000 0.000
Sc1 0.000 0.000 0.511
Os1 0.500 0.500 0.742
Rh1 0.500 0.500 0.263
```